1.
KTlRhSe2, optimized geometry, DFT PBE; E_form (uncorrected) = 0.8653 eV/atom; energy = -13.46 eV/f.u.
1.0
5.472 0.000 0.000
0.000 5.472 0.000
0.000 0.000 5.916
K Tl Rh Se
1 1 1 2
direct
0.000 0.000 0.000 K
0.000 0.000 0.500 Tl
0.500 0.500 0.000 Rh
0.000 0.500 0.500 Se
0.500 0.000 0.500 Se



2.
Mo2PBr, optimized geometry, DFT PBE; E above lowest polymorph = 80 meV per atom; E_form (uncorrected) = 0.1215 eV/atom; energy = -28.26 eV/f.u.
1.0
3.182 0.000 0.000
0.000 3.182 0.000
0.000 0.000 6.730
Mo P Br
2 1 1
direct
0.000 0.000 0.180 Mo
0.000 0.000 0.820 Mo
0.500 0.500 0.000 P
0.500 0.500 0.500 Br



3.
PmCuAs, optimized geometry, DFT PBE; E above lowest polymorph = 307 meV per atom; energy = -15.31 eV/f.u.
1.0
0.000 3.173 3.173
3.173 0.000 3.173
3.173 3.173 0.000
Pm Cu As
1 1 1
direct
0.000 0.000 0.000 Pm
0.250 0.250 0.250 Cu
0.500 0.500 0.500 As



4.
Li2CeEr2Tl2, optimized geometry, DFT PBE; energy = -24.51 eV/f.u.
1.0
2.443 1.410 8.801
-2.443 1.410 8.801
0.000 -2.821 8.801
Li Ce Er Tl
2 1 2 2
direct
0.094 0.094 0.094 Li
0.906 0.906 0.906 Li
0.500 0.500 0.500 Ce
0.372 0.372 0.372 Er
0.628 0.628 0.628 Er
0.240 0.240 0.240 Tl
0.760 0.760 0.760 Tl



5.
CsYZnS3, optimized geometry, DFT PBE; E_form (uncorrected) = -1.4997 eV/atom; energy = -29.97 eV/f.u.
1.0
9.399 0.000 0.000
0.000 4.041 0.000
-3.631 0.000 9.232
Cs Y Zn S
2 2 2 6
direct
0.216 0.250 0.242 Cs
0.784 0.750 0.758 Cs
0.333 0.750 0.861 Y
0.667 0.250 0.139 Y
0.083 0.250 0.611 Zn
0.917 0.750 0.389 Zn
0.128 0.250 0.855 S
0.185 0.750 0.545 S
0.475 0.750 0.152 S
0.525 0.250 0.848 S
0.815 0.250 0.455 S
0.872 0.750 0.145 S



6.
CeSm3Ho2Se6, optimized geometry, DFT PBE; E_form (uncorrected) = -1.7901 eV/atom; energy = -71.63 eV/f.u.
1.0
3.575 -6.215 0.000
3.575 6.215 0.000
-2.405 0.000 6.765
Ce Sm Ho Se
1 3 2 6
direct
0.000 0.000 0.000 Ce
0.164 0.836 0.500 Sm
0.500 0.500 0.500 Sm
0.836 0.164 0.500 Sm
0.333 0.667 0.000 Ho
0.667 0.333 0.000 Ho
0.081 0.422 0.244 Se
0.260 0.260 0.758 Se
0.422 0.081 0.244 Se
0.578 0.919 0.756 Se
0.740 0.740 0.242 Se
0.919 0.578 0.756 Se



7.
CaLa2InRu, optimized geometry, DFT PBE; E above lowest polymorph = 8 meV per atom; energy = -25.09 eV/f.u.
1.0
5.358 0.000 0.000
0.000 5.358 0.000
0.000 0.000 5.608
Ca La In Ru
1 2 1 1
direct
0.000 0.000 0.000 Ca
0.000 0.500 0.500 La
0.500 0.000 0.500 La
0.500 0.500 0.000 In
0.000 0.000 0.500 Ru



8.
Ta2CrP, optimized geometry, DFT PBE; energy = -39.25 eV/f.u.
1.0
1.734 -2.329 0.000
1.734 2.329 0.000
0.000 0.000 7.609
Ta Cr P
2 1 1
direct
0.000 0.000 0.000 Ta
0.500 0.500 0.304 Ta
0.500 0.500 0.735 Cr
0.000 0.000 0.544 P



9.
La2SmSe2S2, optimized geometry, DFT PBE; E_form (uncorrected) = -1.7338 eV/atom; energy = -41.93 eV/f.u.
1.0
-2.612 2.612 7.585
2.612 -2.612 7.585
2.612 2.612 -7.585
La Sm Se S
2 1 2 2
direct
0.122 0.122 0.000 La
0.878 0.878 0.000 La
0.500 0.500 0.000 Sm
0.312 0.312 0.000 Se
0.688 0.688 0.000 Se
0.000 0.500 0.500 S
0.500 0.000 0.500 S



10.
PmEr2Pd3, optimized geometry, DFT PBE; energy = -34.67 eV/f.u.
1.0
2.508 -7.577 0.000
2.508 7.577 0.000
0.000 0.000 3.434
Pm Er Pd
1 2 3
direct
0.000 0.000 0.000 Pm
0.333 0.667 0.000 Er
0.667 0.333 0.000 Er
0.175 0.825 0.500 Pd
0.500 0.500 0.500 Pd
0.825 0.175 0.500 Pd



11.
Sr4CuIr, optimized geometry, DFT PBE; energy = -13.37 eV/f.u.
1.0
0.000 4.592 4.592
4.592 0.000 4.592
4.592 4.592 0.000
Sr Cu Ir
4 1 1
direct
0.376 0.376 0.376 Sr
0.376 0.376 0.872 Sr
0.376 0.872 0.376 Sr
0.872 0.376 0.376 Sr
0.000 0.000 0.000 Cu
0.750 0.750 0.750 Ir



12.
AcTlCdIn, optimized geometry, DFT PBE; energy = -11.05 eV/f.u.
1.0
0.000 3.913 3.913
3.913 0.000 3.913
3.913 3.913 0.000
Ac Tl Cd In
1 1 1 1
direct
0.000 0.000 0.000 Ac
0.250 0.250 0.250 Tl
0.750 0.750 0.750 Cd
0.500 0.500 0.500 In